[1]
Compound: CePm2NdEr5
Source: Alexandria via LeMat-Bulk
Functional: GGA-PBE
Structure: relaxed

Calculated values
Electronic total energy: -4.512 eV/atom

abc: 8.664 8.664 9.837
angles: 116.13 116.13 90.00
Each line ends with the local moment (μB).
Element x y z (fractional)
Er1 0.066 0.566 0.724  0.05
Nd1 0.750 0.750 0.500  0.00
Er2 0.500 0.500 0.000  -0.04
Er3 0.158 0.066 0.724  0.05
Pm1 0.619 0.119 0.000  -0.02
Ce1 0.250 0.750 0.500  0.76
Nd2 0.250 0.250 0.500  0.00
Pm2 0.381 0.881 0.000  -0.02
Ce2 0.750 0.250 0.500  0.76
Er4 0.658 0.158 0.724  0.05
Er5 0.000 0.000 0.000  -0.04
Pm3 0.881 0.619 0.000  -0.02
Pm4 0.119 0.381 0.000  -0.02
Er6 0.934 0.434 0.276  0.05
Er7 0.566 0.658 0.724  0.05
Er8 0.842 0.934 0.276  0.05
Er9 0.434 0.342 0.276  0.05
Er10 0.342 0.842 0.276  0.05

[2]
Compound: CePmNdEr
Source: Alexandria via LeMat-Bulk
Functional: GGA-PBE
Structure: relaxed

Calculated values
Electronic total energy: -4.807 eV/atom

abc: 5.737 5.737 5.737
angles: 60.00 60.00 60.00
Each line ends with the local moment (μB).
Element x y z (fractional)
Nd1 0.250 0.250 0.250  0.30
Ce1 0.000 0.000 0.000  1.12
Er1 0.500 0.500 0.500  0.40
Pm1 0.750 0.750 0.750  0.32

[3]
Compound: CePmNd6Er2
Source: Alexandria via LeMat-Bulk
Functional: GGA-PBE
Structure: relaxed

Calculated values
Electronic total energy: -4.605 eV/atom

abc: 8.926 7.016 6.655
angles: 121.81 100.74 90.00
Each line ends with the local moment (μB).
Element x y z (fractional)
Nd1 0.581 0.370 0.739  0.01
Er1 0.158 0.093 0.185  0.04
Ce1 0.000 0.500 0.000  0.78
Nd2 0.200 0.065 0.661  0.02
Er2 0.842 0.907 0.815  0.04
Pm1 0.500 0.000 0.000  -0.01
Nd3 0.800 0.935 0.339  0.02
Nd4 0.800 0.404 0.339  0.02
Nd5 0.200 0.596 0.661  0.02
Nd6 0.419 0.630 0.261  0.01

| no. | spin magnetization (μB/cell) | V (Å³ per cell) | E_form (eV/f.u.) |
| --- | --- | --- | --- |
| 1 | 2.02 | 577.7 | 2.4 |
| 2 | 3.26 | 133.5 | 0.8 |
| 3 | 1.30 | 345.6 | 2.4 |